Entry 1:
This record from Alexandria describes a geometry-optimized Ho2TeH2I structure. The functional is PBE.

abc: 3.8966 3.8966 9.2366
angles: 90.00 90.00 120.00
Closest atoms and distances in Å follow each position.
Element x y z (fractional)
I 0.0000 0.0000 0.0000  6 H 3.23, 6 Ho 3.39
Te 0.0000 0.0000 0.5000  6 Ho 3.06, 6 H 3.22
Ho 0.6667 0.3333 0.2748  3 H 2.26
H 0.3333 0.6667 0.2507  3 Ho 2.26
Ho 0.3333 0.6667 0.7252  3 H 2.26
H 0.6667 0.3333 0.7493  3 Ho 2.26

* VASP energy: -25.94 eV/cell

=====

Entry 2:
This record from Alexandria describes a geometry-optimized Ho6In2H structure. The functional is PBE.

abc: 6.3131 8.2067 9.4032
angles: 90.00 90.45 90.00
Closest atoms and distances in Å follow each position.
Element x y z (fractional)
Ho 0.6431 0.1904 0.9478  1 H 2.74
Ho 0.6498 0.1689 0.5489  1 H 2.65
In 0.9317 0.3843 0.7435  8 Ho 3.09-3.20
Ho 0.3502 0.8311 0.4511  1 H 2.65
H 0.0000 0.0000 0.5000  6 Ho 2.52-2.74
Ho 0.1498 0.3311 0.0489  1 H 2.65
In 0.0683 0.6157 0.2565  8 Ho 3.09-3.20
Ho 0.3569 0.8096 0.0522  1 H 2.74
Ho 0.6054 0.4711 0.2578  1 H 2.52
Ho 0.1054 0.0289 0.7578  1 H 2.52
Ho 0.8502 0.6689 0.9511  1 H 2.65
In 0.4317 0.1157 0.2435  8 Ho 3.09-3.20
H 0.5000 0.5000 0.0000  6 Ho 2.52-2.74
Ho 0.3946 0.5289 0.7422  1 H 2.52
Ho 0.1431 0.3096 0.4478  1 H 2.74
In 0.5683 0.8843 0.7565  8 Ho 3.09-3.20
Ho 0.8569 0.6904 0.5522  1 H 2.74
Ho 0.8946 0.9711 0.2422  1 H 2.52

* VASP energy: -76.05 eV/cell

=====

Entry 3:
This record from Alexandria describes a geometry-optimized HoInH structure. The functional is PBE.

abc: 5.3169 3.5895 3.5895
angles: 120.00 90.00 90.00
Closest atoms and distances in Å follow each position.
Element x y z (fractional)
Ho 0.1660 0.0000 0.0000  3 H 2.07
In 0.6660 0.3333 0.6667  6 H 3.36-3.38, 6 Ho 3.37, 6 In 3.59
H 0.1680 0.6667 0.3333  3 Ho 2.07

* VASP energy: -12.01 eV/cell

=====

Entry 4:
This record from Alexandria describes a geometry-optimized Ho12In3H5 structure. The functional is PBE.

abc: 13.4400 13.4400 13.4400
angles: 109.47 109.47 109.47
Closest atoms and distances in Å follow each position.
Element x y z (fractional)
H 0.0000 0.5000 0.0000  6 Ho 2.57
Ho 0.2954 0.4036 0.8074  1 H 2.18
Ho 0.4036 0.2954 0.3074  1 H 2.18
Ho 0.8074 0.9036 0.2954  1 H 2.18
Ho 0.7954 0.4880 0.3918  1 H 2.18
In 0.1250 0.8750 0.7500  8 Ho 3.13-3.14
H 0.1250 0.7500 0.3750  4 Ho 2.18
In 0.8750 0.7500 0.1250  8 Ho 3.13-3.14
Ho 0.9880 0.5962 0.1926  1 H 2.18
In 0.2500 0.6250 0.8750  8 Ho 3.13-3.14
In 0.7500 0.3750 0.1250  8 Ho 3.13-3.14
Ho 0.4038 0.0120 0.3074  1 H 2.18
Ho 0.3918 0.4038 0.0964  1 H 2.18
Ho 0.2954 0.8918 0.9880  1 H 2.18
Ho 0.9038 0.8074 0.5120  1 H 2.18
Ho 0.1926 0.0964 0.7046  1 H 2.18
Ho 0.1926 0.0962 0.9880  1 H 2.18
In 0.2500 0.1250 0.3750  8 Ho 3.13-3.14
H 0.0000 0.5000 0.5000  6 Ho 2.57
H 0.7500 0.1250 0.8750  4 Ho 2.18
Ho 0.8918 0.5964 0.9038  1 H 2.18
Ho 0.0120 0.6082 0.7046  1 H 2.18
H 0.3750 0.2500 0.1250  4 Ho 2.18
Ho 0.5964 0.8918 0.4038  1 H 2.18
H 0.8750 0.6250 0.7500  4 Ho 2.18
Ho 0.5962 0.6082 0.4036  1 H 2.18
In 0.6250 0.3750 0.7500  8 Ho 3.13-3.14
H 0.8750 0.2500 0.6250  4 Ho 2.18
H 0.6250 0.7500 0.8750  4 Ho 2.18
Ho 0.4880 0.7954 0.8918  1 H 2.18
In 0.6250 0.2500 0.3750  8 Ho 3.13-3.14
Ho 0.2046 0.5120 0.6082  1 H 2.18
Ho 0.6082 0.0120 0.2046  1 H 2.18
In 0.3750 0.7500 0.6250  8 Ho 3.13-3.14
Ho 0.0962 0.1926 0.4880  1 H 2.18
Ho 0.6082 0.5962 0.9036  1 H 2.18
Ho 0.9880 0.3918 0.2954  1 H 2.18
Ho 0.0962 0.9036 0.1082  1 H 2.18
H 0.6250 0.8750 0.2500  4 Ho 2.18
Ho 0.6926 0.2046 0.5964  1 H 2.18
Ho 0.3918 0.9880 0.7954  1 H 2.18
In 0.8750 0.1250 0.2500  8 Ho 3.13-3.14
Ho 0.5964 0.7046 0.6926  1 H 2.18
Ho 0.5962 0.9880 0.6926  1 H 2.18
Ho 0.8918 0.2954 0.4880  1 H 2.18
Ho 0.9038 0.0964 0.8918  1 H 2.18
H 0.5000 0.5000 0.0000  6 Ho 2.57
H 0.1250 0.3750 0.2500  4 Ho 2.18
H 0.2500 0.3750 0.6250  4 Ho 2.18
Ho 0.6926 0.4880 0.5962  1 H 2.18
Ho 0.1082 0.7046 0.5120  1 H 2.18
Ho 0.0964 0.9038 0.3918  1 H 2.18
Ho 0.3074 0.7954 0.4036  1 H 2.18
Ho 0.5120 0.2046 0.1082  1 H 2.18
Ho 0.2046 0.6926 0.0964  1 H 2.18
H 0.2500 0.8750 0.1250  4 Ho 2.18
Ho 0.4036 0.1082 0.5962  1 H 2.18
In 0.1250 0.2500 0.8750  8 Ho 3.13-3.14
Ho 0.9036 0.8074 0.7954  1 H 2.18
H 0.5000 0.0000 0.5000  6 Ho 2.57
Ho 0.0120 0.4038 0.8074  1 H 2.18
Ho 0.1082 0.4036 0.0962  1 H 2.18
Ho 0.7046 0.5964 0.1926  1 H 2.18
Ho 0.8074 0.9038 0.0120  1 H 2.18
H 0.5000 0.0000 0.0000  6 Ho 2.57
Ho 0.7954 0.3074 0.9036  1 H 2.18
H 0.3750 0.1250 0.7500  4 Ho 2.18
In 0.7500 0.8750 0.6250  8 Ho 3.13-3.14
H 0.5000 0.5000 0.5000  6 Ho 2.57
Ho 0.9036 0.0962 0.6082  1 H 2.18
Ho 0.5120 0.3074 0.9038  1 H 2.18
Ho 0.3074 0.5120 0.4038  1 H 2.18
Ho 0.0964 0.1926 0.2046  1 H 2.18
H 0.0000 0.0000 0.5000  6 Ho 2.57
H 0.0000 0.0000 0.0000  6 Ho 2.57
Ho 0.7046 0.1082 0.0120  1 H 2.18
Ho 0.4038 0.3918 0.5964  1 H 2.18
In 0.3750 0.6250 0.2500  8 Ho 3.13-3.14
H 0.7500 0.6250 0.3750  4 Ho 2.18
Ho 0.4880 0.6926 0.0962  1 H 2.18

* VASP energy: -338.41 eV/cell

=====

Entry 5:
This record from Alexandria describes a geometry-optimized Ho3InH structure. The functional is PBE.

abc: 6.8042 6.8945 6.6040
angles: 76.11 58.91 60.46
Closest atoms and distances in Å follow each position.
Element x y z (fractional)
H 0.9198 0.8549 0.2241  4 Ho 2.11-2.16
In 0.5952 0.8828 0.8436  11 Ho 3.27-3.49, 1 H 3.50
Ho 0.5789 0.3770 0.8830  1 H 2.55
Ho 0.9950 0.5407 0.3868  1 H 2.11
Ho 0.5199 0.0245 0.3507  1 H 2.11
In 0.5034 0.5191 0.3915  11 Ho 3.22-3.48
Ho 0.1107 0.8540 0.8425  1 H 2.16
H 0.0593 0.1947 0.6045  6 Ho 2.43-2.55
Ho 0.0776 0.3778 0.8833  1 H 2.55
Ho 0.0232 0.0241 0.3509  1 H 2.11

* VASP energy: -42.99 eV/cell

=====

Entry 6:
This record from Alexandria describes a geometry-optimized HoInH structure. The functional is PBE.

abc: 6.1197 6.1197 6.7389
angles: 90.00 90.00 111.25
Closest atoms and distances in Å follow each position.
Element x y z (fractional)
H 0.3971 0.3971 0.1016  1 H 1.97, 3 Ho 2.04-2.06
H 0.6029 0.6029 0.8984  1 H 1.97, 3 Ho 2.04-2.06
Ho 0.8182 0.8182 0.6917  3 H 2.04-2.06
In 0.7240 0.2760 0.5000  2 H 2.96
Ho 0.1818 0.1818 0.3083  3 H 2.04-2.06
H 0.1029 0.1029 0.6016  1 H 1.97, 3 Ho 2.04-2.06
In 0.7760 0.2240 0.0000  2 H 2.96
Ho 0.3182 0.3182 0.8083  3 H 2.04-2.06
In 0.2240 0.7760 0.0000  2 H 2.96
Ho 0.6818 0.6818 0.1917  3 H 2.04-2.06
In 0.2760 0.7240 0.5000  2 H 2.96
H 0.8971 0.8971 0.3984  1 H 1.97, 3 Ho 2.04-2.06

* VASP energy: -47.27 eV/cell

=====

Entry 7:
This record from Alexandria describes a geometry-optimized HoInH structure. The functional is PBE.

abc: 3.1711 3.1711 6.2159
angles: 104.78 104.78 90.00
Closest atoms and distances in Å follow each position.
Element x y z (fractional)
Ho 0.7290 0.7290 0.4580  4 H 2.28
In 0.0056 0.0056 0.0112  1 H 3.01, 4 In 3.17, 1 Ho 3.21
H 0.2654 0.2654 0.5308  4 Ho 2.28

* VASP energy: -11.24 eV/cell

=====

Entry 8:
This record from Alexandria describes a geometry-optimized Ho4InH structure. The functional is PBE.

abc: 5.0928 6.6937 8.7363
angles: 90.00 106.98 90.00
Closest atoms and distances in Å follow each position.
Element x y z (fractional)
Ho 0.3039 0.5379 0.6075  1 H 2.40
Ho 0.8927 0.2806 0.7855  2 H 2.55
Ho 0.6962 0.5236 0.3928  1 H 2.40
In 0.1031 0.2806 0.2058  11 Ho 3.35-3.51
Ho 0.5001 0.5303 0.0001  2 H 2.32
Ho 0.1073 0.7806 0.2145  2 H 2.55
In 0.8969 0.7806 0.7942  11 Ho 3.35-3.51
Ho 0.6961 0.0379 0.3925  1 H 2.40
H 0.4034 0.2805 0.8071  6 Ho 2.32-2.55
Ho 0.3038 0.0236 0.6072  1 H 2.40
Ho 0.4999 0.0303 0.9998  2 H 2.32
H 0.5966 0.7805 0.1929  6 Ho 2.32-2.55

* VASP energy: -51.43 eV/cell